(1)
A plane-wave DFT calculation with GGA-PBE was carried out for an optimized crystal structure of CaCd2Hg6.

POSCAR file:
```
CaCd2Hg6
1.0
-4.702 4.853 5.280
4.702 -4.853 5.280
4.702 4.853 -5.280
Ca Cd Hg
2 4 12
Cartesian
0.000 0.000 0.000 Ca
0.000 0.000 5.280 Ca
4.702 0.000 1.450 Cd
0.000 3.415 0.000 Cd
0.000 6.290 0.000 Cd
0.000 4.853 3.830 Cd
4.702 2.880 -2.617 Hg
2.677 1.985 0.000 Hg
6.727 1.985 0.000 Hg
2.269 4.853 -2.019 Hg
2.433 0.000 3.261 Hg
0.000 1.973 2.664 Hg
4.702 2.880 2.617 Hg
2.269 4.853 2.019 Hg
2.433 0.000 7.299 Hg
-2.025 2.867 5.280 Hg
2.025 2.867 5.280 Hg
0.000 1.973 7.897 Hg
```

Output
ΔE_f = -0.13 eV per atom
DOS(E_F) = 0.485 states/eV per atom
Excess energy over the best structure of this formula in the dataset = 8.4 meV/atom
Crystal system = orthorhombic

(2)
A plane-wave DFT calculation with GGA-PBE was carried out for an optimized crystal structure of OsPtNCl2.

POSCAR file:
```
OsPtNCl2
1.0
4.950 0.000 0.000
0.000 4.950 0.000
0.000 0.000 3.674
Os Pt N Cl
1 1 1 2
Cartesian
0.000 0.000 0.000 Os
2.475 2.475 1.837 Pt
0.000 0.000 1.837 N
0.000 2.475 0.000 Cl
2.475 0.000 0.000 Cl
```

Output
DOS(E_F) = 1.667 states/eV per atom
Crystal system = tetragonal
Formation energy (no corrections) = 0.90 eV/atom

(3)
A plane-wave DFT calculation with GGA-PBE was carried out for an optimized crystal structure of BeGeP2S.

POSCAR file:
```
BeGeP2S
1.0
4.225 0.000 0.000
0.000 4.225 0.000
0.000 0.000 4.630
Be Ge P S
1 1 2 1
Cartesian
0.000 0.000 0.000 Be
2.112 2.112 2.315 Ge
0.000 2.112 0.000 P
2.112 0.000 0.000 P
0.000 0.000 2.315 S
```

Output
DOS(E_F) = 0.618 states/eV per atom
Excess energy over the best structure of this formula in the dataset = 0.0 meV/atom
Crystal system = tetragonal
Formation energy (no corrections) = 0.57 eV/atom

(4)
A plane-wave DFT calculation with GGA-PBE was carried out for an optimized crystal structure of PrHo8Hg6.

POSCAR file:
```
PrHo8Hg6
1.0
4.472 2.582 6.325
-4.472 2.582 6.325
0.000 -5.164 6.325
Pr Ho Hg
1 8 6
Cartesian
0.000 0.000 0.000 Pr
-1.416 -2.629 8.466 Ho
-2.985 -0.088 10.508 Ho
0.000 0.000 6.271 Ho
-1.569 2.541 8.466 Ho
1.569 -2.541 10.508 Ho
0.000 0.000 12.704 Ho
2.985 0.088 8.466 Ho
1.416 2.629 10.508 Ho
-2.924 -0.099 7.454 Hg
-1.376 -2.582 11.520 Hg
1.548 -2.482 7.455 Hg
-1.548 2.482 11.520 Hg
1.376 2.582 7.455 Hg
2.924 0.099 11.520 Hg
```

Output
ΔE_f = -0.23 eV per atom
DOS(E_F) = 1.182 states/eV per atom
Crystal system = trigonal

(5)
A plane-wave DFT calculation with GGA-PBE was carried out for an optimized crystal structure of MgZr2Ir.

POSCAR file:
```
MgZr2Ir
1.0
-2.040 2.040 4.621
2.040 -2.040 4.621
2.040 2.040 -4.621
Mg Zr Ir
1 2 1
Cartesian
0.000 0.000 0.000 Mg
2.040 0.000 2.311 Zr
0.000 0.000 4.621 Zr
0.000 2.040 2.311 Ir
```

Output
ΔE_f = -0.27 eV per atom
DOS(E_F) = 0.973 states/eV per atom
Crystal system = tetragonal

(6)
A plane-wave DFT calculation with GGA-PBE was carried out for an optimized crystal structure of Pm2PrEr2Tm2.

POSCAR file:
```
Pm2PrEr2Tm2
1.0
8.849 -1.747 0.000
8.849 1.747 0.000
-3.755 0.000 7.512
Pm Pr Er Tm
2 1 2 2
Cartesian
1.178 0.000 2.895 Pm
12.765 0.000 4.617 Pm
6.971 0.000 3.756 Pr
4.363 0.000 1.498 Er
9.580 0.000 6.015 Er
-2.153 0.000 6.821 Tm
16.096 0.000 0.691 Tm
```

Output
ΔE_f = 0.15 eV per atom
DOS(E_F) = 1.684 states/eV per atom
Crystal system = monoclinic

- DOS(E_F) of number 2 (OsPtNCl2)?
  1.667 states/eV per atom

Repeat the first record exactly.
A plane-wave DFT calculation with GGA-PBE was carried out for an optimized crystal structure of CaCd2Hg6.

POSCAR file:
```
CaCd2Hg6
1.0
-4.702 4.853 5.280
4.702 -4.853 5.280
4.702 4.853 -5.280
Ca Cd Hg
2 4 12
Cartesian
0.000 0.000 0.000 Ca
0.000 0.000 5.280 Ca
4.702 0.000 1.450 Cd
0.000 3.415 0.000 Cd
0.000 6.290 0.000 Cd
0.000 4.853 3.830 Cd
4.702 2.880 -2.617 Hg
2.677 1.985 0.000 Hg
6.727 1.985 0.000 Hg
2.269 4.853 -2.019 Hg
2.433 0.000 3.261 Hg
0.000 1.973 2.664 Hg
4.702 2.880 2.617 Hg
2.269 4.853 2.019 Hg
2.433 0.000 7.299 Hg
-2.025 2.867 5.280 Hg
2.025 2.867 5.280 Hg
0.000 1.973 7.897 Hg
```

Output
ΔE_f = -0.13 eV per atom
DOS(E_F) = 0.485 states/eV per atom
Excess energy over the best structure of this formula in the dataset = 8.4 meV/atom
Crystal system = orthorhombic

- What is the DOS(E_F) in the sixth record?
  1.684 states/eV per atom

- Which value of DOS(E_F) does entry 3 give?
  0.618 states/eV per atom